## Te2IrAu (PBE-GGA)

Data for a relaxed structure of Te2IrAu.

abc: 6.9292 6.9292 6.9292
angles: 90.00 90.00 90.00
With the nearest neighbours (Å) after each atom.
Space group Fm-3m (No. 225)
Symmetry-distinct sites (fractional):
1 Te 0.2500 0.2500 0.2500 x8  4 Au 3.00, 4 Ir 3.00
2 Ir 0.0000 0.0000 0.0000 x4  8 Te 3.00
3 Au 0.0000 0.0000 0.5000 x4  8 Te 3.00

Calculated values
**Formation energy from raw total energies**: 0.410 eV/atom
**E above lowest polymorph**: 0.565 eV per atom
**N(E_F)**: 4.591 states/eV per cell
**Total energy**: -67.1 eV per cell